Record 1
The following is a DFT calculation (GGA-PBE) of a relaxed structure of LaTbPr2Sm6.

Total magnetic moment   0.0 Bohr magnetons per cell

abc: 8.9596 8.9596 10.0056
angles: 94.88 94.88 118.36
Last column: nearest neighbours and their distance in Å.
Fractional positions:
La (0.0961, 0.9039, 0.7500)  8 Sm 3.52-3.86, 2 Pr 3.69
La (0.9039, 0.0961, 0.2500)  8 Sm 3.52-3.86, 2 Pr 3.69
Tb (0.4821, 0.5179, 0.2500)  4 Pr 3.37-3.43, 4 Sm 3.66-3.70
Tb (0.5179, 0.4821, 0.7500)  4 Pr 3.37-3.43, 4 Sm 3.66-3.70
Pr (0.2113, 0.3131, 0.9593)  5 Sm 3.35-3.54, 2 Tb 3.37-3.43, 1 La 3.69
Pr (0.3131, 0.2113, 0.4593)  5 Sm 3.35-3.54, 2 Tb 3.37-3.43, 1 La 3.69
Pr (0.6869, 0.7887, 0.5407)  5 Sm 3.35-3.54, 2 Tb 3.37-3.43, 1 La 3.69
Pr (0.7887, 0.6869, 0.0407)  5 Sm 3.35-3.54, 2 Tb 3.37-3.43, 1 La 3.69
Sm (0.9999, 0.2065, 0.6220)  4 Sm 3.31-3.68, 3 Pr 3.35-3.54, 2 La 3.52-3.69
Sm (0.0001, 0.7935, 0.3780)  4 Sm 3.31-3.68, 3 Pr 3.35-3.54, 2 La 3.52-3.69
Sm (0.0794, 0.5285, 0.1839)  3 Sm 3.31-3.69, 1 Pr 3.47, 1 La 3.57, 1 Tb 3.66
Sm (0.2065, 0.9999, 0.1220)  4 Sm 3.31-3.68, 3 Pr 3.35-3.54, 2 La 3.52-3.69
Sm (0.2466, 0.6207, 0.5562)  6 Sm 3.46-3.87, 1 Pr 3.51, 1 Tb 3.70, 1 La 3.86
Sm (0.3793, 0.7534, 0.9438)  6 Sm 3.46-3.87, 1 Pr 3.51, 1 Tb 3.70, 1 La 3.86
Sm (0.4715, 0.9206, 0.3161)  3 Sm 3.31-3.69, 1 Pr 3.47, 1 La 3.57, 1 Tb 3.66
Sm (0.5285, 0.0794, 0.6839)  3 Sm 3.31-3.69, 1 Pr 3.47, 1 La 3.57, 1 Tb 3.66
Sm (0.6207, 0.2466, 0.0562)  6 Sm 3.46-3.87, 1 Pr 3.51, 1 Tb 3.70, 1 La 3.86
Sm (0.7534, 0.3793, 0.4438)  6 Sm 3.46-3.87, 1 Pr 3.51, 1 Tb 3.70, 1 La 3.86
Sm (0.7935, 0.0001, 0.8780)  4 Sm 3.31-3.68, 3 Pr 3.35-3.54, 2 La 3.52-3.69
Sm (0.9206, 0.4715, 0.8161)  3 Sm 3.31-3.69, 1 Pr 3.47, 1 La 3.57, 1 Tb 3.66

Record 2
The following is a DFT calculation (GGA-PBE) of a relaxed structure of La6TbPrSm2.

Total magnetic moment   0.0 Bohr magnetons per cell

abc: 6.7474 6.7474 9.3346
angles: 104.89 104.89 62.55
Last column: nearest neighbours and their distance in Å.
Fractional positions:
La (0.0697, 0.5346, 0.1923)  1 Sm 3.20, 2 La 3.26-3.44, 1 Pr 3.49
La (0.1293, 0.1293, 0.4227)  5 La 3.68-3.92, 1 Tb 3.78, 3 Pr 3.96-4.12
La (0.4654, 0.9303, 0.8077)  1 Sm 3.20, 2 La 3.26-3.44, 1 Pr 3.49
La (0.5346, 0.0697, 0.1923)  1 Sm 3.20, 2 La 3.26-3.44, 1 Pr 3.49
La (0.8707, 0.8707, 0.5773)  5 La 3.68-3.92, 1 Tb 3.78, 3 Pr 3.96-4.12
La (0.9303, 0.4654, 0.8077)  1 Sm 3.20, 2 La 3.26-3.44, 1 Pr 3.49
Tb (0.0000, 0.0000, 0.0000)  10 La 3.78-3.80, 4 Sm 3.83
Pr (0.5000, 0.5000, 0.5000)  2 Sm 3.43, 4 La 3.49
Sm (0.4271, 0.4271, 0.8300)  1 Sm 3.11, 2 La 3.20, 1 Pr 3.43
Sm (0.5729, 0.5729, 0.1700)  1 Sm 3.11, 2 La 3.20, 1 Pr 3.43

Record 3
The following is a DFT calculation (GGA-PBE) of a relaxed structure of La5TbPrSm2.

Total magnetic moment   0.0 Bohr magnetons per cell

abc: 10.0078 10.0078 10.0078
angles: 124.96 124.96 81.60
Last column: nearest neighbours and their distance in Å.
Fractional positions:
La (0.0000, 0.0000, 0.0000)  4 Sm 3.73, 2 Pr 3.79, 8 La 3.92
La (0.0670, 0.5670, 0.9094)  1 Sm 3.17, 1 Tb 3.17
La (0.1576, 0.0670, 0.5000)  1 Sm 3.17, 1 Tb 3.17
La (0.3424, 0.8424, 0.9094)  1 Sm 3.17, 1 Tb 3.17
La (0.4330, 0.3424, 0.5000)  1 Sm 3.17, 1 Tb 3.17
La (0.5000, 0.5000, 0.0000)  4 Sm 3.73, 2 Pr 3.79, 8 La 3.92
La (0.5670, 0.6576, 0.5000)  1 Sm 3.17, 1 Tb 3.17
La (0.6576, 0.1576, 0.0906)  1 Sm 3.17, 1 Tb 3.17
La (0.8424, 0.9330, 0.5000)  1 Sm 3.17, 1 Tb 3.17
La (0.9330, 0.4330, 0.0906)  1 Sm 3.17, 1 Tb 3.17
Tb (0.2500, 0.7500, 0.5000)  4 La 3.17
Tb (0.7500, 0.2500, 0.5000)  4 La 3.17
Pr (0.2500, 0.2500, 0.0000)  10 La 3.73-3.79
Pr (0.7500, 0.7500, 0.0000)  10 La 3.73-3.79
Sm (0.1131, 0.3869, 0.5000)  1 Sm 2.96, 2 La 3.17
Sm (0.3869, 0.8869, 0.2738)  1 Sm 2.96, 2 La 3.17
Sm (0.6131, 0.1131, 0.7262)  1 Sm 2.96, 2 La 3.17
Sm (0.8869, 0.6131, 0.5000)  1 Sm 2.96, 2 La 3.17

Record 4
The following is a DFT calculation (GGA-PBE) of a relaxed structure of La2TbPrSm6.

Total magnetic moment   0.0 Bohr magnetons per cell

abc: 8.8986 8.8986 10.0781
angles: 95.10 95.10 117.83
Last column: nearest neighbours and their distance in Å.
Fractional positions:
La (0.1926, 0.2892, 0.0411)  5 Sm 3.33-3.64, 2 Pr 3.40-3.43, 1 Tb 3.62
La (0.2892, 0.1926, 0.5411)  5 Sm 3.33-3.64, 2 Pr 3.40-3.43, 1 Tb 3.62
La (0.7108, 0.8074, 0.4589)  5 Sm 3.33-3.64, 2 Pr 3.40-3.43, 1 Tb 3.62
La (0.8074, 0.7108, 0.9589)  5 Sm 3.33-3.64, 2 Pr 3.40-3.43, 1 Tb 3.62
Tb (0.4054, 0.5946, 0.7500)  8 Sm 3.48-3.80, 2 La 3.62
Tb (0.5946, 0.4054, 0.2500)  8 Sm 3.48-3.80, 2 La 3.62
Pr (0.0121, 0.9879, 0.2500)  4 La 3.40-3.43, 4 Sm 3.67-3.68
Pr (0.9879, 0.0121, 0.7500)  4 La 3.40-3.43, 4 Sm 3.67-3.68
Sm (0.0193, 0.5772, 0.1885)  4 Sm 3.33-3.72, 1 La 3.48, 1 Tb 3.49, 1 Pr 3.68
Sm (0.1193, 0.7361, 0.5563)  7 Sm 3.48-3.84, 1 La 3.64, 1 Pr 3.67, 1 Tb 3.80
Sm (0.2639, 0.8807, 0.9437)  7 Sm 3.48-3.84, 1 La 3.64, 1 Pr 3.67, 1 Tb 3.80
Sm (0.2992, 0.5076, 0.3801)  3 La 3.33-3.59, 4 Sm 3.33-3.57, 2 Tb 3.48-3.68
Sm (0.4228, 0.9807, 0.3115)  4 Sm 3.33-3.72, 1 La 3.48, 1 Tb 3.49, 1 Pr 3.68
Sm (0.4924, 0.7008, 0.1199)  3 La 3.33-3.59, 4 Sm 3.33-3.57, 2 Tb 3.48-3.68
Sm (0.5076, 0.2992, 0.8801)  3 La 3.33-3.59, 4 Sm 3.33-3.57, 2 Tb 3.48-3.68
Sm (0.5772, 0.0193, 0.6885)  4 Sm 3.33-3.72, 1 La 3.48, 1 Tb 3.49, 1 Pr 3.68
Sm (0.7008, 0.4924, 0.6199)  3 La 3.33-3.59, 4 Sm 3.33-3.57, 2 Tb 3.48-3.68
Sm (0.7361, 0.1193, 0.0563)  7 Sm 3.48-3.84, 1 La 3.64, 1 Pr 3.67, 1 Tb 3.80
Sm (0.8807, 0.2639, 0.4437)  7 Sm 3.48-3.84, 1 La 3.64, 1 Pr 3.67, 1 Tb 3.80
Sm (0.9807, 0.4228, 0.8115)  4 Sm 3.33-3.72, 1 La 3.48, 1 Tb 3.49, 1 Pr 3.68

Record 5
The following is a DFT calculation (GGA-PBE) of a relaxed structure of LaTb2Pr6Sm3.

Total magnetic moment   0.0 Bohr magnetons per cell

abc: 6.3722 6.3722 12.1434
angles: 95.03 95.03 120.00
Last column: nearest neighbours and their distance in Å.
Fractional positions:
La (0.0000, 0.0000, 0.0000)  6 Pr 3.67, 6 Tb 3.68
Tb (0.3335, 0.6665, 0.0000)  6 Pr 3.66-3.67, 3 Tb 3.67-3.68, 3 La 3.68
Tb (0.6665, 0.3335, 0.0000)  6 Pr 3.66-3.67, 3 Tb 3.67-3.68, 3 La 3.68
Pr (0.0839, 0.4182, 0.2501)  3 Sm 3.66-3.67, 2 Tb 3.66-3.67, 1 La 3.67, 6 Pr 3.67-3.69
Pr (0.2501, 0.2501, 0.7496)  3 Sm 3.66-3.67, 2 Tb 3.67, 1 La 3.67, 6 Pr 3.67-3.69
Pr (0.4182, 0.0839, 0.2501)  3 Sm 3.66-3.67, 2 Tb 3.66-3.67, 1 La 3.67, 6 Pr 3.67-3.69
Pr (0.5818, 0.9161, 0.7499)  3 Sm 3.66-3.67, 2 Tb 3.66-3.67, 1 La 3.67, 6 Pr 3.67-3.69
Pr (0.7499, 0.7499, 0.2504)  3 Sm 3.66-3.67, 2 Tb 3.67, 1 La 3.67, 6 Pr 3.67-3.69
Pr (0.9161, 0.5818, 0.7499)  3 Sm 3.66-3.67, 2 Tb 3.66-3.67, 1 La 3.67, 6 Pr 3.67-3.69
Sm (0.1671, 0.8329, 0.5000)  6 Pr 3.66-3.67, 6 Sm 3.67-3.69
Sm (0.5000, 0.5000, 0.5000)  6 Pr 3.66-3.67, 6 Sm 3.67-3.68
Sm (0.8329, 0.1671, 0.5000)  6 Pr 3.66-3.67, 6 Sm 3.67-3.69

Record 6
The following is a DFT calculation (GGA-PBE) of a relaxed structure of LaTb3PrSm.

Total magnetic moment   0.0 Bohr magnetons per cell

abc: 10.5327 10.5327 7.0792
angles: 90.18 90.18 31.36
Last column: nearest neighbours and their distance in Å.
Fractional positions:
La (0.1464, 0.1464, 0.0370)  1 Sm 3.03, 2 Tb 3.24-3.37
La (0.8536, 0.8536, 0.9630)  1 Sm 3.03, 2 Tb 3.24-3.37
Tb (0.0232, 0.0232, 0.7455)  1 Sm 3.23, 1 La 3.24, 2 Pr 3.26, 1 Tb 3.60
Tb (0.2791, 0.2791, 0.7527)  3 Sm 3.33-3.56, 3 La 3.37-3.55, 1 Pr 3.37, 3 Tb 3.67-3.68
Tb (0.3352, 0.3352, 0.2592)  2 Sm 3.47, 2 La 3.56, 4 Tb 3.67-3.76
Tb (0.6648, 0.6648, 0.7408)  2 Sm 3.47, 2 La 3.56, 4 Tb 3.67-3.76
Tb (0.7209, 0.7209, 0.2473)  3 Sm 3.33-3.56, 3 La 3.37-3.55, 1 Pr 3.37, 3 Tb 3.67-3.68
Tb (0.9768, 0.9768, 0.2545)  1 Sm 3.23, 1 La 3.24, 2 Pr 3.26, 1 Tb 3.60
Pr (0.4453, 0.4453, 0.7408)  3 Tb 3.26-3.37
Pr (0.5547, 0.5547, 0.2592)  3 Tb 3.26-3.37
Sm (0.1484, 0.1484, 0.4655)  1 La 3.03, 2 Tb 3.23-3.33
Sm (0.8516, 0.8516, 0.5345)  1 La 3.03, 2 Tb 3.23-3.33

Record 7
The following is a DFT calculation (GGA-PBE) of a relaxed structure of LaTbPr6Sm2.

Total magnetic moment   0.0 Bohr magnetons per cell

abc: 9.0732 9.0732 9.9674
angles: 94.50 94.50 118.13
Last column: nearest neighbours and their distance in Å.
Fractional positions:
La (0.0950, 0.9050, 0.7500)  6 Pr 3.55-3.67, 2 Sm 3.68
La (0.9050, 0.0950, 0.2500)  6 Pr 3.55-3.67, 2 Sm 3.68
Tb (0.4741, 0.5259, 0.2500)  4 Sm 3.42-3.46, 4 Pr 3.64-3.73
Tb (0.5259, 0.4741, 0.7500)  4 Sm 3.42-3.46, 4 Pr 3.64-3.73
Pr (0.0046, 0.7951, 0.3794)  3 Pr 3.35-3.48, 3 Sm 3.37-3.55, 2 La 3.55-3.67
Pr (0.0709, 0.5206, 0.1839)  3 Pr 3.35-3.73, 1 Sm 3.54, 1 La 3.56, 1 Tb 3.64
Pr (0.2049, 0.9954, 0.1206)  3 Pr 3.35-3.48, 3 Sm 3.37-3.55, 2 La 3.55-3.67
Pr (0.2568, 0.6137, 0.5549)  6 Pr 3.48-3.89, 1 Sm 3.50, 1 Tb 3.73
Pr (0.3863, 0.7432, 0.9451)  6 Pr 3.48-3.89, 1 Sm 3.50, 1 Tb 3.73
Pr (0.4794, 0.9291, 0.3161)  3 Pr 3.35-3.73, 1 Sm 3.54, 1 La 3.56, 1 Tb 3.64
Pr (0.5206, 0.0709, 0.6839)  3 Pr 3.35-3.73, 1 Sm 3.54, 1 La 3.56, 1 Tb 3.64
Pr (0.6137, 0.2568, 0.0549)  6 Pr 3.48-3.89, 1 Sm 3.50, 1 Tb 3.73
Pr (0.7432, 0.3863, 0.4451)  6 Pr 3.48-3.89, 1 Sm 3.50, 1 Tb 3.73
Pr (0.7951, 0.0046, 0.8794)  3 Pr 3.35-3.48, 3 Sm 3.37-3.55, 2 La 3.55-3.67
Pr (0.9291, 0.4794, 0.8161)  3 Pr 3.35-3.73, 1 Sm 3.54, 1 La 3.56, 1 Tb 3.64
Pr (0.9954, 0.2049, 0.6206)  3 Pr 3.35-3.48, 3 Sm 3.37-3.55, 2 La 3.55-3.67
Sm (0.2113, 0.3086, 0.9560)  5 Pr 3.37-3.55, 2 Tb 3.42-3.46, 1 La 3.68
Sm (0.3086, 0.2113, 0.4560)  5 Pr 3.37-3.55, 2 Tb 3.42-3.46, 1 La 3.68
Sm (0.6914, 0.7887, 0.5440)  5 Pr 3.37-3.55, 2 Tb 3.42-3.46, 1 La 3.68
Sm (0.7887, 0.6914, 0.0440)  5 Pr 3.37-3.55, 2 Tb 3.42-3.46, 1 La 3.68

Record 8
The following is a DFT calculation (GGA-PBE) of a relaxed structure of LaTb2Pr3Sm6.

Total magnetic moment   0.0 Bohr magnetons per cell

abc: 6.3251 6.3251 12.1225
angles: 95.01 95.01 120.00
Last column: nearest neighbours and their distance in Å.
Fractional positions:
La (0.0000, 0.0000, 0.0000)  6 Sm 3.64, 6 Tb 3.65
Tb (0.3334, 0.6666, 0.0000)  6 Sm 3.63, 3 Tb 3.65, 3 La 3.65
Tb (0.6666, 0.3334, 0.0000)  6 Sm 3.63, 3 Tb 3.65, 3 La 3.65
Pr (0.1671, 0.8329, 0.5000)  6 Pr 3.65-3.66, 6 Sm 3.67-3.68
Pr (0.5000, 0.5000, 0.5000)  6 Pr 3.65, 6 Sm 3.67-3.68
Pr (0.8329, 0.1671, 0.5000)  6 Pr 3.65-3.66, 6 Sm 3.67-3.68
Sm (0.0829, 0.4174, 0.2479)  2 Tb 3.63, 1 La 3.64, 6 Sm 3.65-3.66, 3 Pr 3.67-3.68
Sm (0.2516, 0.2516, 0.7519)  2 Tb 3.63, 1 La 3.64, 6 Sm 3.65-3.66, 3 Pr 3.67-3.68
Sm (0.4174, 0.0829, 0.2479)  2 Tb 3.63, 1 La 3.64, 6 Sm 3.65-3.66, 3 Pr 3.67-3.68
Sm (0.5826, 0.9171, 0.7521)  2 Tb 3.63, 1 La 3.64, 6 Sm 3.65-3.66, 3 Pr 3.67-3.68
Sm (0.7484, 0.7484, 0.2481)  2 Tb 3.63, 1 La 3.64, 6 Sm 3.65-3.66, 3 Pr 3.67-3.68
Sm (0.9171, 0.5826, 0.7521)  2 Tb 3.63, 1 La 3.64, 6 Sm 3.65-3.66, 3 Pr 3.67-3.68

Record 9
The following is a DFT calculation (GGA-PBE) of a relaxed structure of La3Tb6Pr2Sm.

Total magnetic moment   0.0 Bohr magnetons per cell

abc: 6.3265 6.3265 11.9384
angles: 95.06 95.06 120.03
Last column: nearest neighbours and their distance in Å.
Fractional positions:
La (0.0000, 0.0000, 0.0000)  6 Tb 3.63, 6 La 3.65
La (0.3334, 0.6666, 0.0000)  6 Tb 3.63-3.64, 6 La 3.65
La (0.6666, 0.3334, 0.0000)  6 Tb 3.63-3.64, 6 La 3.65
Tb (0.0846, 0.4175, 0.2517)  1 Sm 3.60, 2 Pr 3.60, 3 La 3.63-3.64, 6 Tb 3.65-3.66
Tb (0.2497, 0.2497, 0.7482)  1 Sm 3.60, 2 Pr 3.60, 3 La 3.63, 6 Tb 3.65-3.66
Tb (0.4175, 0.0846, 0.2517)  1 Sm 3.60, 2 Pr 3.60, 3 La 3.63-3.64, 6 Tb 3.65-3.66
Tb (0.5825, 0.9154, 0.7483)  1 Sm 3.60, 2 Pr 3.60, 3 La 3.63-3.64, 6 Tb 3.65-3.66
Tb (0.7503, 0.7503, 0.2518)  1 Sm 3.60, 2 Pr 3.60, 3 La 3.63, 6 Tb 3.65-3.66
Tb (0.9154, 0.5825, 0.7483)  1 Sm 3.60, 2 Pr 3.60, 3 La 3.63-3.64, 6 Tb 3.65-3.66
Pr (0.1666, 0.8334, 0.5000)  6 Tb 3.60, 3 Sm 3.65, 3 Pr 3.65
Pr (0.8334, 0.1666, 0.5000)  6 Tb 3.60, 3 Sm 3.65, 3 Pr 3.65
Sm (0.5000, 0.5000, 0.5000)  6 Tb 3.60, 6 Pr 3.65

The records above yield calculated total energy values of -4.6237 -4.6602 -4.5687 -4.6449 -4.7370 -4.5473 -4.6568 -4.7195 -4.7252 eV per atom, respectively.